# NiPIO2

A geometry-optimized NiPIO2 structure (GGA+U, Alexandria via LeMat-Bulk).

**ΔE to the lowest computed polymorph**: 46.9 kJ/mol of atoms
**Spin magnetization**: 2.1 μB per cell

a b c (Å): 3.907 3.907 4.798
angles (deg): 90.00 90.00 90.00
Sites, in units of the cell vectors:
Ni: 0.000 0.000 0.000
P: 0.000 0.000 0.500
I: 0.500 0.500 0.500
O: 0.000 0.500 0.000
O: 0.500 0.000 0.000